(1)
A plane-wave DFT calculation with GGA-PBE was carried out for a relaxed structure of ReBTeN2.

## Properties
E_form (uncorrected): 212.9 kJ per mole of atoms
Energy relative to the lowest polymorph listed for this composition: 1140 meV/atom
Total DFT energy (no corrections): -27.9 eV for the cell shown

Unit cell a=3.734 b=3.734 c=4.469 alpha=90.00 beta=90.00 gamma=90.00
Sites, in units of the cell vectors:
Re (0.000, 0.000, 0.000)
B (0.500, 0.500, 0.500)
Te (0.500, 0.500, 0.000)
N (0.000, 0.500, 0.500)
N (0.500, 0.000, 0.500)

(2)
A plane-wave DFT calculation with GGA-PBE was carried out for a relaxed structure of ReBTeN2.

## Properties
E_form (uncorrected): 102.9 kJ per mole of atoms
Energy relative to the lowest polymorph listed for this composition: 0 meV/atom
Total DFT energy (no corrections): -33.6 eV for the cell shown

Unit cell a=3.793 b=3.793 c=5.802 alpha=90.00 beta=90.00 gamma=90.00
Sites, in units of the cell vectors:
Re (0.000, 0.000, 0.000)
B (0.500, 0.500, 0.500)
Te (0.000, 0.000, 0.500)
N (0.000, 0.500, 0.000)
N (0.500, 0.000, 0.000)

(3)
A plane-wave DFT calculation with GGA-PBE was carried out for a relaxed structure of TiRe2BN.

## Properties
E_form (uncorrected): 75.1 kJ per mole of atoms
Total DFT energy (no corrections): -43.9 eV for the cell shown

Unit cell a=4.547 b=4.547 c=2.962 alpha=90.00 beta=90.00 gamma=90.00
Sites, in units of the cell vectors:
Ti (0.000, 0.000, 0.000)
Re (0.000, 0.500, 0.500)
Re (0.500, 0.000, 0.500)
B (0.500, 0.500, 0.500)
N (0.500, 0.500, 0.000)

(4)
A plane-wave DFT calculation with GGA-PBE was carried out for a relaxed structure of ZnReB2N.

## Properties
E_form (uncorrected): 152.2 kJ per mole of atoms
Total DFT energy (no corrections): -27.5 eV for the cell shown

Unit cell a=3.560 b=3.560 c=3.942 alpha=90.00 beta=90.00 gamma=90.00
Sites, in units of the cell vectors:
Zn (0.000, 0.000, 0.000)
Re (0.500, 0.500, 0.000)
B (0.000, 0.500, 0.500)
B (0.500, 0.000, 0.500)
N (0.000, 0.000, 0.500)

(5)
A plane-wave DFT calculation with GGA-PBE was carried out for a relaxed structure of BRh2N.

## Properties
E_form (uncorrected): 80.4 kJ per mole of atoms
Energy relative to the lowest polymorph listed for this composition: 609 meV/atom
Total DFT energy (no corrections): -26.4 eV for the cell shown

Unit cell a=3.859 b=3.859 c=3.859 alpha=60.00 beta=60.00 gamma=60.00
Sites, in units of the cell vectors:
B (0.000, 0.000, 0.000)
Rh (0.250, 0.250, 0.250)
Rh (0.750, 0.750, 0.750)
N (0.500, 0.500, 0.500)

(6)
A plane-wave DFT calculation with GGA-PBE was carried out for a relaxed structure of B3RhN3.

## Properties
E_form (uncorrected): 18.9 kJ per mole of atoms
Total DFT energy (no corrections): -102.0 eV for the cell shown

Unit cell a=4.656 b=4.656 c=4.656 alpha=90.00 beta=90.00 gamma=90.00
Sites, in units of the cell vectors:
B (0.000, 0.250, 0.500)
B (0.000, 0.750, 0.500)
B (0.250, 0.500, 0.000)
B (0.500, 0.000, 0.250)
B (0.500, 0.000, 0.750)
B (0.750, 0.500, 0.000)
Rh (0.000, 0.000, 0.000)
Rh (0.500, 0.500, 0.500)
N (0.000, 0.500, 0.250)
N (0.000, 0.500, 0.750)
N (0.250, 0.000, 0.500)
N (0.500, 0.250, 0.000)
N (0.500, 0.750, 0.000)
N (0.750, 0.000, 0.500)